NdPa3N6: relaxed, GGA-PBE.

Cell: 3.5919 9.3901 9.2910 Å, 105.02 90.00 90.00°
Closest atoms and distances in Å follow each position.
Positions (direct):
Pa 0.7500 0.8222 0.4693  6 N 2.23-2.40
Pa 0.2500 0.4778 0.3159  7 N 2.25-2.49
Pa 0.2500 0.9162 0.8298  6 N 2.25-2.39
Pa 0.2500 0.1778 0.5307  6 N 2.23-2.40
Pa 0.7500 0.5222 0.6841  7 N 2.25-2.49
Pa 0.7500 0.0838 0.1702  6 N 2.25-2.39
N 0.7500 0.7810 0.7289  3 Pa 2.26-2.36
N 0.2500 0.5654 0.8762  2 Pa 2.49, 3 Nd 2.50-2.58
N 0.7500 0.2804 0.6976  3 Pa 2.31-2.40
N 0.2500 0.9519 0.5956  4 Pa 2.29-2.35
N 0.2500 0.9191 0.0732  3 Pa 2.25-2.39
N 0.7500 0.4346 0.1238  2 Pa 2.49, 3 Nd 2.50-2.58
N 0.7500 0.5798 0.4489  4 Pa 2.23-2.38
N 0.7500 0.0481 0.4044  4 Pa 2.29-2.35
N 0.7500 0.0809 0.9268  3 Pa 2.25-2.39
N 0.2500 0.7196 0.3024  3 Pa 2.31-2.40
N 0.2500 0.2190 0.2711  3 Pa 2.26-2.36
N 0.2500 0.4202 0.5511  4 Pa 2.23-2.38
Nd 0.7500 0.6824 0.0706  5 N 2.50-2.76
Nd 0.2500 0.3176 0.9294  5 N 2.50-2.76

Values from the calculation:
* ΔE to the lowest computed polymorph: 0 meV per atom
* space group: P2_1/m (11)
* electronic total energy: -9.96 eV/atom

=====

NdPaN: relaxed, GGA-PBE.

Cell: 4.3548 4.3548 4.3548 Å, 60.00 60.00 60.00°
Closest atoms and distances in Å follow each position.
Positions (direct):
N 0.2500 0.2500 0.2500  4 Pa 2.67, 4 Nd 2.67
Nd 0.0000 0.0000 0.0000  4 N 2.67
Pa 0.5000 0.5000 0.5000  4 N 2.67

Values from the calculation:
* ΔE to the lowest computed polymorph: 772 meV per atom
* N(E_F): 5.249 states/eV per cell
* space group: F-43m (216)
* electronic total energy: -7.51 eV/atom